# 1
Here is an optimized crystal structure of RuPt3 from the Alexandria database. Energies are from PBE.

Its crystal system is orthorhombic. The calculation puts the density of states at the Fermi level at 6.0 states/eV/f.u. The magnetic moment comes out at 0.0 μB/cell. The calculation puts the volume at 15.22 A^3/atom. The calculation puts the formation enthalpy at 0 K at 0.034 eV per atom.

The space group is Pmmn (No. 59, origin choice 2) and the conventional cell measures 5.563, 13.671 and 4.803 Å, with angles of 90.00, 90.00 and 90.00 degrees. Symmetry generates all atoms from Ru at (0.250, 0.082, 0.167), Ru at (0.250, 0.750, 0.496), Pt at (0.000, 0.083, 0.667), Pt at (0.000, 0.250, 0.004), Pt at (0.250, 0.250, 0.495) and Pt at (0.250, 0.582, 0.833).

---

# 2
Here is an optimized crystal structure of Ru7Pt6 from the Alexandria database. Energies are from PBE.

Its crystal system is trigonal. The calculation puts the density of states at the Fermi level at 23.1 states/eV/f.u. The magnetic moment comes out at 0.0 μB/cell. The calculation puts the volume at 15.45 A^3/atom. The calculation puts the formation enthalpy at 0 K at 0.339 eV per atom.

The space group is R-3m (No. 166, hexagonal axes) and the conventional cell measures 5.1194, 5.1194 and 26.5403 Å, with angles of 90.00, 90.00 and 120.00 degrees. Symmetry generates all atoms from Ru at (0.0000, 0.0000, 0.0000), Ru at (0.0051, 0.5026, 0.4130), Pt at (0.0000, 0.0000, 0.1628), Pt at (0.0000, 0.0000, 0.3429) and Pt at (0.0000, 0.0000, 0.4478).